This record from Alexandria via LeMat-Bulk describes a relaxed structure of K2RbHfPt. The functional is PBE.

Results
* raw total energy: -3.289 eV/atom
* calculated formation energy: 0.542 eV/atom
* spin magnetization: 0.0 μB per formula unit

Geometry as CIF:
```
data_K2RbHfPt
_chemical_formula_sum 'K2 Rb1 Hf1 Pt1'
_space_group_name_H-M_alt 'P 4/m m m'
_space_group_IT_number 123
_space_group_name_Hall '-P 4 2'
_cell_length_a 7.021
_cell_length_b 7.021
_cell_length_c 4.897
_cell_angle_alpha 90.00
_cell_angle_beta 90.00
_cell_angle_gamma 90.00
loop_
_atom_site_label
_atom_site_fract_x
_atom_site_fract_y
_atom_site_fract_z
K1 0.000 0.500 0.000
Rb1 0.000 0.000 0.500
Hf1 0.500 0.500 0.000
Pt1 0.500 0.500 0.500
```